[1]
# ErTmTcHg

Crystalline ErTmTcHg at its relaxed geometry (PBE, the Alexandria database).

a b c (Å): 4.9827 4.9827 4.9827
angles (deg): 60.00 60.00 60.00
Closest atoms and distances in Å follow each position.
Positions (direct):
1 Tc 0.2500 0.2500 0.2500  4 Tm 3.05, 4 Er 3.05
2 Tm 0.5000 0.5000 0.5000  4 Hg 3.05, 4 Tc 3.05
3 Hg 0.7500 0.7500 0.7500  4 Er 3.05, 4 Tm 3.05
4 Er 0.0000 0.0000 0.0000  4 Hg 3.05, 4 Tc 3.05

Computed properties:
* Fermi-level density of states: 0.66 states/eV per atom
* formation enthalpy at 0 K: -0.188 eV per atom

***

[2]
# ErZrTcHg

Crystalline ErZrTcHg at its relaxed geometry (PBE, the Alexandria database).

a b c (Å): 4.9034 4.9034 4.9034
angles (deg): 60.00 60.00 60.00
Closest atoms and distances in Å follow each position.
Positions (direct):
1 Tc 0.2500 0.2500 0.2500  4 Zr 3.00, 4 Er 3.00
2 Hg 0.7500 0.7500 0.7500  4 Er 3.00, 4 Zr 3.00
3 Zr 0.5000 0.5000 0.5000  4 Hg 3.00, 4 Tc 3.00
4 Er 0.0000 0.0000 0.0000  4 Tc 3.00, 4 Hg 3.00

Computed properties:
* Fermi-level density of states: 0.79 states/eV per atom
* formation enthalpy at 0 K: -0.158 eV per atom

***

[3]
# Er3HgTe2

Crystalline Er3HgTe2 at its relaxed geometry (PBE, the Alexandria database).

a b c (Å): 4.1426 6.1246 7.6701
angles (deg): 113.53 105.67 90.00
Closest atoms and distances in Å follow each position.
Positions (direct):
1 Er 0.8409 0.3409 0.1819  2 Hg 2.98, 4 Te 3.07-3.09
2 Er 0.1591 0.6591 0.8181  2 Hg 2.98, 4 Te 3.07-3.09
3 Er 0.5000 0.0000 0.5000  2 Hg 3.06, 4 Te 3.09
4 Hg 0.5000 0.5000 0.5000  6 Er 2.98-3.06
5 Te 0.8293 0.8293 0.1587  6 Er 3.07-3.09
6 Te 0.1707 0.1707 0.8413  6 Er 3.07-3.09

Computed properties:
* Fermi-level density of states: 0.43 states/eV per atom
* polymorph energy (0 for the lowest one): 0 meV/atom
* formation energy (no corrections): -94 kJ/mol of atoms

***

[4]
# Er3HgTe2

Crystalline Er3HgTe2 at its relaxed geometry (PBE, the Alexandria database).

a b c (Å): 7.5282 7.5282 13.4562
angles (deg): 101.01 101.01 108.49
Closest atoms and distances in Å follow each position.
Positions (direct):
1 Er 0.1652 0.6761 0.8294  2 Hg 2.98-2.99, 4 Te 3.08-3.12
2 Er 0.6641 0.1533 0.8294  2 Hg 2.98-2.99, 4 Te 3.08-3.12
3 Er 0.0848 0.0739 0.6706  2 Hg 2.98-2.99, 4 Te 3.08-3.12
4 Er 0.5859 0.5967 0.6706  2 Hg 2.98-2.99, 4 Te 3.08-3.12
5 Er 0.0115 0.5115 0.5000  2 Hg 2.98, 4 Te 3.06-3.08
6 Er 0.4885 0.9885 0.5000  2 Hg 2.98, 4 Te 3.06-3.08
7 Er 0.4033 0.4141 0.3294  2 Hg 2.98-2.99, 4 Te 3.08-3.12
8 Er 0.9261 0.9152 0.3294  2 Hg 2.98-2.99, 4 Te 3.08-3.12
9 Er 0.8467 0.3359 0.1706  2 Hg 2.98-2.99, 4 Te 3.08-3.12
10 Er 0.3239 0.8348 0.1706  2 Hg 2.98-2.99, 4 Te 3.08-3.12
11 Er 0.2385 0.2385 0.0000  2 Hg 2.98, 4 Te 3.06-3.08
12 Er 0.7615 0.7615 0.0000  2 Hg 2.98, 4 Te 3.06-3.08
13 Hg 0.9166 0.9166 0.8332  6 Er 2.98-2.99
14 Hg 0.3334 0.8334 0.6668  6 Er 2.98-2.99
15 Hg 0.1666 0.6666 0.3332  6 Er 2.98-2.99
16 Hg 0.0834 0.0834 0.1668  6 Er 2.98-2.99
17 Te 0.9974 0.4974 0.9947  6 Er 3.06-3.10
18 Te 0.4192 0.4192 0.8384  6 Er 3.08-3.12
19 Te 0.8308 0.3308 0.6616  6 Er 3.08-3.12
20 Te 0.2526 0.2526 0.5053  6 Er 3.06-3.10
21 Te 0.7474 0.7474 0.4947  6 Er 3.06-3.10
22 Te 0.6692 0.1692 0.3384  6 Er 3.08-3.12
23 Te 0.5808 0.5808 0.1616  6 Er 3.08-3.12
24 Te 0.5026 0.0026 0.0053  6 Er 3.06-3.10

Computed properties:
* Fermi-level density of states: 0.68 states/eV per atom
* polymorph energy (0 for the lowest one): 13 meV/atom
* formation energy (no corrections): -93 kJ/mol of atoms

***

[5]
# Er8HgTe2

Crystalline Er8HgTe2 at its relaxed geometry (PBE, the Alexandria database).

a b c (Å): 5.8431 8.0119 8.0119
angles (deg): 116.50 98.07 98.07
Closest atoms and distances in Å follow each position.
Positions (direct):
1 Er 0.8577 0.9123 0.6802  2 Te 3.03-3.09, 2 Er 3.16-3.39
2 Er 0.8577 0.6802 0.9123  2 Te 3.03-3.09, 2 Er 3.16-3.39
3 Er 0.3021 0.6081 0.6081  2 Te 3.18, 1 Hg 3.20, 2 Er 3.30-3.51
4 Er 0.5000 0.7646 0.2354  2 Te 3.07, 1 Hg 3.21
5 Er 0.5000 0.2354 0.7646  2 Te 3.07, 1 Hg 3.21
6 Er 0.6979 0.3919 0.3919  2 Te 3.18, 1 Hg 3.20, 2 Er 3.30-3.51
7 Er 0.1423 0.3198 0.0877  2 Te 3.03-3.09, 2 Er 3.16-3.39
8 Er 0.1423 0.0877 0.3198  2 Te 3.03-3.09, 2 Er 3.16-3.39
9 Hg 0.5000 0.0000 0.0000  8 Er 3.20-3.43
10 Te 0.0000 0.3052 0.6948  8 Er 3.03-3.18
11 Te 0.0000 0.6948 0.3052  8 Er 3.03-3.18

Computed properties:
* Fermi-level density of states: 1.30 states/eV per atom
* formation energy (no corrections): -34 kJ/mol of atoms

***

[6]
# Er4HgTe3

Crystalline Er4HgTe3 at its relaxed geometry (PBE, the Alexandria database).

a b c (Å): 4.1847 7.5836 7.5836
angles (deg): 107.95 90.00 90.00
Closest atoms and distances in Å follow each position.
Positions (direct):
1 Er 0.0000 0.2359 0.2359  2 Hg 2.97, 4 Te 3.07-3.15
2 Er 0.5000 0.7598 0.2402  1 Hg 2.95, 5 Te 3.06-3.19
3 Er 0.0000 0.7641 0.7641  2 Hg 2.97, 4 Te 3.07-3.15
4 Er 0.5000 0.2402 0.7598  1 Hg 2.95, 5 Te 3.06-3.19
5 Hg 0.5000 0.0000 0.0000  6 Er 2.95-2.97
6 Te 0.0000 0.0000 0.5000  6 Er 3.06-3.07
7 Te 0.5000 0.5000 0.5000  6 Er 3.15-3.19
8 Te 0.0000 0.5000 0.0000  6 Er 3.06-3.07

Computed properties:
* Fermi-level density of states: 0.38 states/eV per atom
* formation energy (no corrections): -101 kJ/mol of atoms